This record from Alexandria via LeMat-Bulk describes a relaxed structure of Rb2TeRuI6. The functional is PBE-GGA.

Calculated values
The value obtained for the density of states at the Fermi level is 25.0 states/eV per cell. The value obtained for the raw formation energy is -469.7 meV/atom. The calculation puts the size of the total moment at 3.1 μB/cell.

Geometry as CIF:
```
data_Rb2TeRuI6
_symmetry_space_group_name_H-M 'I 4/m m m'
_symmetry_Int_Tables_number 139
_symmetry_space_group_name_Hall '-I 4 2'
_cell_length_a 8.453
_cell_length_b 8.453
_cell_length_c 11.740
_cell_angle_alpha 90.00
_cell_angle_beta 90.00
_cell_angle_gamma 90.00
loop_
_atom_site_label
_atom_site_fract_x
_atom_site_fract_y
_atom_site_fract_z
Rb1 0.000 0.500 0.250
Te1 0.000 0.000 0.000
Ru1 0.000 0.000 0.500
I1 0.000 0.000 0.265
I2 0.231 0.231 0.500
```